No. 1
LaHPt3 at its PBEsol-relaxed geometry, computed with SCAN. Values from VASP.

The structure in Quantum ESPRESSO input format:
```
&SYSTEM
  ibrav = 0, nat = 5, ntyp = 3
/
ATOMIC_SPECIES
La 138.91 La.upf
Pt 195.08 Pt.upf
H 1.01 H.upf
CELL_PARAMETERS angstrom
-3.629 2.139 -0.223
-1.765 -3.212 -2.090
-1.230 -1.704 3.658
ATOMIC_POSITIONS crystal
La 0.500 0.500 0.500
Pt 0.000 0.500 0.000
H 0.000 0.000 0.000
Pt 0.500 0.000 0.000
Pt 0.000 0.000 0.500
```

Output
The value obtained for the offset from the most stable computed form is 0.0000 eV/atom. For the density of states at the Fermi level, the calculation gives 0.176 states/eV/atom. As for the theoretical density: 16.04 g cm⁻³. Its symmetry is Pm-3m (221).



No. 2
CoHg3Bi at its PBEsol-relaxed geometry, computed with SCAN. Values from VASP.

The structure in Quantum ESPRESSO input format:
```
&SYSTEM
  ibrav = 0, nat = 5, ntyp = 3
/
ATOMIC_SPECIES
Bi 208.98 Bi.upf
Co 58.93 Co.upf
Hg 200.59 Hg.upf
CELL_PARAMETERS angstrom
-0.955 3.149 -3.642
-4.073 -2.508 -1.101
-2.567 2.808 3.101
ATOMIC_POSITIONS crystal
Bi 0.500 0.500 0.500
Co 0.000 0.000 0.000
Hg 0.500 0.000 0.000
Hg 0.000 0.000 0.500
Hg 0.000 0.500 0.000
```

Output
For the density of states at the Fermi level, the calculation gives 1.178 states/eV/atom. As for the theoretical density: 12.21 g cm⁻³. The value obtained for the formation energy is 0.52 eV/atom. Its symmetry is Pm-3m (221).



No. 3
YAs2W at its PBEsol-relaxed geometry, computed with SCAN. Values from VASP.

The structure in Quantum ESPRESSO input format:
```
&SYSTEM
  ibrav = 0, nat = 4, ntyp = 3
/
ATOMIC_SPECIES
Y 88.91 Y.upf
W 183.84 W.upf
As 74.92 As.upf
CELL_PARAMETERS angstrom
-0.679 3.551 0.418
-1.088 0.245 -3.851
-5.033 -1.122 1.351
ATOMIC_POSITIONS crystal
Y 0.000 0.000 0.500
W 0.500 0.500 0.000
As 0.500 0.500 0.500
As 0.000 0.000 0.000
```

Output
The value obtained for the offset from the most stable computed form is 0.0000 eV/atom. For the density of states at the Fermi level, the calculation gives 0.703 states/eV/atom. As for the theoretical density: 9.02 g cm⁻³. The value obtained for the formation energy is -0.16 eV/atom. Its symmetry is Pmmm (47).



No. 4
TlCdPb2 at its PBEsol-relaxed geometry, computed with SCAN. Values from VASP.

The structure in Quantum ESPRESSO input format:
```
&SYSTEM
  ibrav = 0, nat = 4, ntyp = 3
/
ATOMIC_SPECIES
Pb 207.20 Pb.upf
Cd 112.41 Cd.upf
Tl 204.38 Tl.upf
CELL_PARAMETERS angstrom
-1.945 2.739 -0.422
-2.166 -1.824 -1.856
-4.852 -2.236 7.857
ATOMIC_POSITIONS crystal
Pb 0.000 0.000 0.985
Pb 0.500 0.500 0.252
Cd 0.500 0.500 0.748
Tl 0.000 0.000 0.516
```

Output
The value obtained for the offset from the most stable computed form is 0.0089 eV/atom. For the density of states at the Fermi level, the calculation gives 0.400 states/eV/atom. As for the theoretical density: 11.15 g cm⁻³. The value obtained for the formation energy is 0.04 eV/atom. Its symmetry is P4mm (99).



No. 5
LaCo2Hg at its PBEsol-relaxed geometry, computed with SCAN. Values from VASP.

The structure in Quantum ESPRESSO input format:
```
&SYSTEM
  ibrav = 0, nat = 4, ntyp = 3
/
ATOMIC_SPECIES
Co 58.93 Co.upf
Hg 200.59 Hg.upf
La 138.91 La.upf
CELL_PARAMETERS angstrom
-1.688 -2.802 0.197
3.135 -1.709 2.554
-3.056 3.942 2.617
ATOMIC_POSITIONS crystal
Co 0.045 0.545 0.090
Hg 0.477 0.977 0.953
La 0.254 0.254 0.507
Co 0.725 0.725 0.450
```

Output
For the density of states at the Fermi level, the calculation gives 0.487 states/eV/atom. As for the theoretical density: 10.73 g cm⁻³. The value obtained for the formation energy is 0.18 eV/atom. Its symmetry is Imm2 (44).



No. 6
Si4BiO10 at its PBEsol-relaxed geometry, computed with SCAN. Values from VASP.

The structure in Quantum ESPRESSO input format:
```
&SYSTEM
  ibrav = 0, nat = 60, ntyp = 3
/
ATOMIC_SPECIES
Bi 208.98 Bi.upf
O 16.00 O.upf
Si 28.09 Si.upf
CELL_PARAMETERS angstrom
-4.298 -5.224 3.141
4.839 -5.261 -2.129
8.039 1.760 13.925
ATOMIC_POSITIONS crystal
Bi 0.500 0.000 0.037
O 0.237 0.611 0.907
O 0.111 0.737 0.407
O 0.542 0.245 0.365
O 0.794 0.794 0.750
Si 0.756 0.673 0.154
O 0.542 0.755 0.865
Si 0.256 0.173 0.846
Si 0.756 0.327 0.654
Si 0.327 0.756 0.846
Si 0.673 0.756 0.346
Si 0.256 0.827 0.346
O 0.706 0.294 0.750
O 0.458 0.245 0.865
O 0.255 0.958 0.865
O 0.245 0.542 0.135
O 0.263 0.889 0.093
Si 0.744 0.827 0.846
O 0.206 0.794 0.250
Bi 0.000 0.500 0.463
Si 0.673 0.244 0.846
O 0.706 0.706 0.250
Si 0.327 0.244 0.346
O 0.755 0.542 0.635
O 0.389 0.763 0.593
O 0.294 0.294 0.250
O 0.958 0.255 0.635
O 0.389 0.237 0.093
O 0.042 0.255 0.135
O 0.755 0.458 0.135
O 0.255 0.042 0.365
O 0.263 0.111 0.593
Si 0.173 0.744 0.154
Si 0.827 0.744 0.654
O 0.237 0.389 0.407
O 0.294 0.706 0.750
O 0.958 0.745 0.135
O 0.245 0.458 0.635
O 0.111 0.263 0.907
O 0.889 0.737 0.907
Si 0.744 0.173 0.346
O 0.763 0.389 0.907
O 0.889 0.263 0.407
Bi 0.000 0.500 0.963
O 0.737 0.889 0.593
O 0.737 0.111 0.093
O 0.042 0.745 0.635
Bi 0.500 0.000 0.537
O 0.763 0.611 0.407
Si 0.827 0.256 0.154
O 0.458 0.755 0.365
Si 0.244 0.673 0.654
O 0.206 0.206 0.750
O 0.611 0.763 0.093
Si 0.173 0.256 0.654
O 0.745 0.042 0.865
Si 0.244 0.327 0.154
O 0.794 0.206 0.250
O 0.745 0.958 0.365
O 0.611 0.237 0.593
```

Output
The formation energy without anion corrections comes out at -2.457 eV per atom. For the density of states at the Fermi level, the calculation gives 0.139 states/eV/atom. As for the theoretical density: 3.55 g cm⁻³. Its symmetry is P4/ncc (130).



No. 7
ZnAs2Se at its PBEsol-relaxed geometry, computed with SCAN. Values from VASP.

The structure in Quantum ESPRESSO input format:
```
&SYSTEM
  ibrav = 0, nat = 4, ntyp = 3
/
ATOMIC_SPECIES
Se 78.96 Se.upf
Zn 65.41 Zn.upf
As 74.92 As.upf
CELL_PARAMETERS angstrom
4.667 0.000 0.000
2.333 4.042 0.000
2.333 1.347 3.810
ATOMIC_POSITIONS crystal
Se 0.000 0.000 0.000
Zn 0.500 0.500 0.500
As 0.750 0.750 0.750
As 0.250 0.250 0.250
```

Output
The value obtained for the offset from the most stable computed form is 0.3568 eV/atom. The formation energy without anion corrections comes out at 0.512 eV per atom. For the density of states at the Fermi level, the calculation gives 0.659 states/eV/atom. As for the theoretical density: 6.80 g cm⁻³. Its symmetry is Fm-3m (225).



No. 8
NaCaIn2Cl at its PBEsol-relaxed geometry, computed with SCAN. Values from VASP.

The structure in Quantum ESPRESSO input format:
```
&SYSTEM
  ibrav = 0, nat = 5, ntyp = 4
/
ATOMIC_SPECIES
Na 22.99 Na.upf
In 114.82 In.upf
Ca 40.08 Ca.upf
Cl 35.45 Cl.upf
CELL_PARAMETERS angstrom
-4.892 -1.896 0.148
0.449 -0.753 5.175
-2.241 5.865 1.048
ATOMIC_POSITIONS crystal
Na 0.000 0.000 0.000
In 0.000 0.500 0.000
In 0.500 0.000 0.000
Ca 0.000 0.000 0.500
Cl 0.500 0.500 0.500
```

Output
The formation energy without anion corrections comes out at 0.069 eV per atom. For the density of states at the Fermi level, the calculation gives 0.553 states/eV/atom. As for the theoretical density: 3.11 g cm⁻³. Its symmetry is P4/mmm (123).